Entry 1:
A relaxed LaPm2F8 crystal. Source: Alexandria via LeMat-Bulk, functional PBE.

Results
ΔE_f (raw) ... -3.9119 eV per atom
Energy relative to the lowest polymorph listed for this composition ... 0 meV/atom
Crystal system ... monoclinic
Spin magnetization ... 0.09 μB per atom
Space group ... C2/m
Final energy ... -72.4 eV/f.u.

a = 8.0806 Å, b = 8.0806 Å, c = 5.8531 Å
α = 110.01°, β = 110.01°, γ = 26.65°
Sites, in units of the cell vectors:
La (0.0000, 0.0000, 0.0000)
Pm (0.3193, 0.3193, 0.3171)
Pm (0.6807, 0.6807, 0.6829)
F (0.1022, 0.1022, 0.4455)
F (0.1818, 0.1818, 0.9593)
F (0.2800, 0.2800, 0.6721)
F (0.4503, 0.4503, 0.2279)
F (0.5497, 0.5497, 0.7721)
F (0.7200, 0.7200, 0.3279)
F (0.8182, 0.8182, 0.0407)
F (0.8978, 0.8978, 0.5545)

Entry 2:
A relaxed VGaIr2 crystal. Source: Alexandria via LeMat-Bulk, functional PBE.

Results
Crystal system ... tetragonal
Spin magnetization ... 0.29 μB per atom
Space group ... P4/mmm
Final energy ... -31.2 eV/f.u.

a = 4.0450 Å, b = 4.0450 Å, c = 3.4972 Å
α = 90.00°, β = 90.00°, γ = 90.00°
Sites, in units of the cell vectors:
V (0.0000, 0.0000, 0.0000)
Ga (0.5000, 0.5000, 0.0000)
Ir (0.0000, 0.5000, 0.5000)
Ir (0.5000, 0.0000, 0.5000)

Entry 3:
A relaxed Hf2Be3Ir crystal. Source: Alexandria via LeMat-Bulk, functional PBE.

Results
Crystal system ... trigonal
Spin magnetization ... 0.00 μB per atom
Space group ... R-3m
Final energy ... -42.5 eV/f.u.

a = 4.8431 Å, b = 4.8431 Å, c = 4.8431 Å
α = 60.89°, β = 60.89°, γ = 60.89°
Sites, in units of the cell vectors:
Hf (0.1246, 0.1246, 0.1246)
Hf (0.8754, 0.8754, 0.8754)
Be (0.0000, 0.5000, 0.5000)
Be (0.5000, 0.0000, 0.5000)
Be (0.5000, 0.5000, 0.0000)
Ir (0.5000, 0.5000, 0.5000)

Entry 4:
A relaxed ZrRu2Br crystal. Source: Alexandria via LeMat-Bulk, functional PBE.

Results
ΔE_f (raw) ... 0.8068 eV per atom
Energy relative to the lowest polymorph listed for this composition ... 820 meV/atom
Crystal system ... tetragonal
Spin magnetization ... 0.00 μB per atom
Space group ... I-42d
Final energy ... -25.5 eV/f.u.

a = 5.5007 Å, b = 5.5007 Å, c = 12.3667 Å
α = 90.00°, β = 90.00°, γ = 90.00°
Sites, in units of the cell vectors:
Zr (0.0000, 0.0000, 0.0000)
Zr (0.0000, 0.5000, 0.2500)
Zr (0.5000, 0.0000, 0.7500)
Zr (0.5000, 0.5000, 0.5000)
Ru (0.2225, 0.2500, 0.6250)
Ru (0.2500, 0.7225, 0.8750)
Ru (0.2500, 0.7775, 0.3750)
Ru (0.2775, 0.2500, 0.1250)
Ru (0.7225, 0.7500, 0.1250)
Ru (0.7500, 0.2225, 0.3750)
Ru (0.7500, 0.2775, 0.8750)
Ru (0.7775, 0.7500, 0.6250)
Br (0.0000, 0.0000, 0.5000)
Br (0.0000, 0.5000, 0.7500)
Br (0.5000, 0.0000, 0.2500)
Br (0.5000, 0.5000, 0.0000)

Entry 5:
A relaxed Ac4La2Ho3 crystal. Source: Alexandria via LeMat-Bulk, functional PBE.

Results
Crystal system ... monoclinic
Spin magnetization ... 0.00 μB per atom
Space group ... C2/m
Final energy ... -39.6 eV/f.u.

a = 6.5210 Å, b = 6.5210 Å, c = 11.3049 Å
α = 106.35°, β = 106.35°, γ = 48.95°
Sites, in units of the cell vectors:
Ac (0.0069, 0.0069, 0.3355)
Ac (0.3340, 0.3340, 0.1126)
Ac (0.6660, 0.6660, 0.8874)
Ac (0.9931, 0.9931, 0.6645)
La (0.3294, 0.3294, 0.7720)
La (0.6706, 0.6706, 0.2280)
Ho (0.0000, 0.0000, 0.0000)
Ho (0.3363, 0.3363, 0.4491)
Ho (0.6637, 0.6637, 0.5509)

Entry 6:
A relaxed Y4GaAg2Hg crystal. Source: Alexandria via LeMat-Bulk, functional PBE.

Results
Crystal system ... trigonal
Spin magnetization ... 0.00 μB per atom
Space group ... R-3m
Final energy ... -38.5 eV/f.u.

a = 8.9539 Å, b = 8.9539 Å, c = 8.9539 Å
α = 33.54°, β = 33.54°, γ = 33.54°
Sites, in units of the cell vectors:
Y (0.1228, 0.1228, 0.1228)
Y (0.3728, 0.3728, 0.3728)
Y (0.6272, 0.6272, 0.6272)
Y (0.8772, 0.8772, 0.8772)
Ga (0.0000, 0.0000, 0.0000)
Ag (0.2489, 0.2489, 0.2489)
Ag (0.7511, 0.7511, 0.7511)
Hg (0.5000, 0.5000, 0.5000)

Entry 7:
A relaxed CsKGaH6 crystal. Source: Alexandria via LeMat-Bulk, functional PBE.

Results
Crystal system ... trigonal
Spin magnetization ... 0.11 μB per atom
Space group ... P312
Final energy ... -23.9 eV/f.u.

a = 6.0606 Å, b = 6.0606 Å, c = 5.3175 Å
α = 90.00°, β = 90.00°, γ = 120.00°
Sites, in units of the cell vectors:
Cs (0.0000, 0.0000, 0.0000)
K (0.3333, 0.6667, 0.5000)
Ga (0.6667, 0.3333, 0.5000)
H (0.4383, 0.0984, 0.6907)
H (0.4383, 0.3399, 0.3093)
H (0.6601, 0.0984, 0.3093)
H (0.6601, 0.5617, 0.6907)
H (0.9016, 0.3399, 0.6907)
H (0.9016, 0.5617, 0.3093)

Entry 8:
A relaxed InSnHg2Pb crystal. Source: Alexandria via LeMat-Bulk, functional PBE.

Results
Crystal system ... monoclinic
Spin magnetization ... 0.00 μB per atom
Space group ... P2_1/m
Final energy ... -10.9 eV/f.u.

a = 7.6669 Å, b = 4.3850 Å, c = 8.1999 Å
α = 90.00°, β = 92.95°, γ = 90.00°
Sites, in units of the cell vectors:
In (0.2200, 0.2500, 0.2378)
In (0.7800, 0.7500, 0.7622)
Sn (0.3454, 0.7500, 0.5283)
Sn (0.6546, 0.2500, 0.4717)
Hg (0.0560, 0.2500, 0.6449)
Hg (0.1510, 0.7500, 0.9451)
Hg (0.8490, 0.2500, 0.0549)
Hg (0.9440, 0.7500, 0.3551)
Pb (0.4532, 0.2500, 0.8322)
Pb (0.5468, 0.7500, 0.1678)

Entry 9:
A relaxed Cs3VCl crystal. Source: Alexandria via LeMat-Bulk, functional PBE.

Results
ΔE_f (raw) ... 0.2178 eV per atom
Crystal system ... cubic
Spin magnetization ... 1.03 μB per atom
Space group ... Pm-3m
Final energy ... -12.4 eV/f.u.

a = 6.8406 Å, b = 6.8406 Å, c = 6.8406 Å
α = 90.00°, β = 90.00°, γ = 90.00°
Sites, in units of the cell vectors:
Cs (0.0000, 0.0000, 0.5000)
Cs (0.0000, 0.5000, 0.0000)
Cs (0.5000, 0.0000, 0.0000)
V (0.0000, 0.0000, 0.0000)
Cl (0.5000, 0.5000, 0.5000)

Entry 10:
A relaxed Tl2In2Se5 crystal. Source: Alexandria via LeMat-Bulk, functional PBE.

Results
ΔE_f (raw) ... -0.3057 eV per atom
Crystal system ... monoclinic
Spin magnetization ... 0.00 μB per atom
Space group ... C2/m
Final energy ... -30.4 eV/f.u.

a = 8.1300 Å, b = 8.1300 Å, c = 6.0844 Å
α = 108.71°, β = 108.71°, γ = 42.82°
Sites, in units of the cell vectors:
Tl (0.0841, 0.0841, 0.3294)
Tl (0.9159, 0.9159, 0.6706)
In (0.3432, 0.3432, 0.1521)
In (0.6568, 0.6568, 0.8479)
Se (0.1610, 0.1610, 0.9110)
Se (0.3508, 0.3508, 0.5930)
Se (0.5000, 0.5000, 0.0000)
Se (0.6492, 0.6492, 0.4070)
Se (0.8390, 0.8390, 0.0890)

Entry 11:
A relaxed MnAl2W crystal. Source: Alexandria via LeMat-Bulk, functional PBE.

Results
Energy relative to the lowest polymorph listed for this composition ... 61 meV/atom
Crystal system ... tetragonal
Spin magnetization ... 0.65 μB per atom
Space group ... P4/mmm
Final energy ... -30.0 eV/f.u.

a = 2.7185 Å, b = 2.7185 Å, c = 7.8294 Å
α = 90.00°, β = 90.00°, γ = 90.00°
Sites, in units of the cell vectors:
Mn (0.0000, 0.0000, 0.0000)
Al (0.5000, 0.5000, 0.2301)
Al (0.5000, 0.5000, 0.7699)
W (0.0000, 0.0000, 0.5000)

Entry 12:
A relaxed Tl2GaBi2 crystal. Source: Alexandria via LeMat-Bulk, functional PBE.

Results
Energy relative to the lowest polymorph listed for this composition ... 169 meV/atom
Crystal system ... tetragonal
Spin magnetization ... 0.00 μB per atom
Space group ... P4/mbm
Final energy ... -14.6 eV/f.u.

a = 8.5897 Å, b = 8.5897 Å, c = 4.3479 Å
α = 90.00°, β = 90.00°, γ = 90.00°
Sites, in units of the cell vectors:
Tl (0.1598, 0.3402, 0.0000)
Tl (0.3402, 0.8402, 0.0000)
Tl (0.6598, 0.1598, 0.0000)
Tl (0.8402, 0.6598, 0.0000)
Ga (0.0000, 0.0000, 0.0000)
Ga (0.5000, 0.5000, 0.0000)
Bi (0.1331, 0.6331, 0.5000)
Bi (0.3669, 0.1331, 0.5000)
Bi (0.6331, 0.8669, 0.5000)
Bi (0.8669, 0.3669, 0.5000)

What is the spin magnetization in the first record?
0.09 μB per atom

The highest final energy belongs to which entry?
InSnHg2Pb

Copy entry 11 word for word.
A relaxed MnAl2W crystal. Source: Alexandria via LeMat-Bulk, functional PBE.

Results
Energy relative to the lowest polymorph listed for this composition ... 61 meV/atom
Crystal system ... tetragonal
Spin magnetization ... 0.65 μB per atom
Space group ... P4/mmm
Final energy ... -30.0 eV/f.u.

a = 2.7185 Å, b = 2.7185 Å, c = 7.8294 Å
α = 90.00°, β = 90.00°, γ = 90.00°
Sites, in units of the cell vectors:
Mn (0.0000, 0.0000, 0.0000)
Al (0.5000, 0.5000, 0.2301)
Al (0.5000, 0.5000, 0.7699)
W (0.0000, 0.0000, 0.5000)

Repeat the sixth record exactly.
A relaxed Y4GaAg2Hg crystal. Source: Alexandria via LeMat-Bulk, functional PBE.

Results
Crystal system ... trigonal
Spin magnetization ... 0.00 μB per atom
Space group ... R-3m
Final energy ... -38.5 eV/f.u.

a = 8.9539 Å, b = 8.9539 Å, c = 8.9539 Å
α = 33.54°, β = 33.54°, γ = 33.54°
Sites, in units of the cell vectors:
Y (0.1228, 0.1228, 0.1228)
Y (0.3728, 0.3728, 0.3728)
Y (0.6272, 0.6272, 0.6272)
Y (0.8772, 0.8772, 0.8772)
Ga (0.0000, 0.0000, 0.0000)
Ag (0.2489, 0.2489, 0.2489)
Ag (0.7511, 0.7511, 0.7511)
Hg (0.5000, 0.5000, 0.5000)